No. 1
Compound: CsK6Ag
Source: Alexandria via LeMat-Bulk
Functional: PBE-GGA
Structure: optimized geometry

Calculated values
DFT formation energy   43 kJ/mol of formula units
Space-group type   Amm2 (38)
Energy   -19.7 eV/cell
DOS(E_F)   11.0 states/eV per cell

a b c (Å): 4.655 12.457 18.611
angles (deg): 90.00 90.00 90.00
Positions (direct):
1 Cs 0.000 0.000 0.000
2 Cs 0.000 0.500 0.500
3 K 0.000 0.000 0.449
4 K 0.000 0.207 0.821
5 K 0.000 0.293 0.321
6 K 0.000 0.500 0.949
7 K 0.000 0.707 0.321
8 K 0.000 0.793 0.821
9 K 0.500 0.000 0.233
10 K 0.500 0.172 0.626
11 K 0.500 0.328 0.126
12 K 0.500 0.500 0.733
13 K 0.500 0.672 0.126
14 K 0.500 0.828 0.626
15 Ag 0.500 0.000 0.812
16 Ag 0.500 0.500 0.312

No. 2
Compound: Hf2TiSiAs
Source: Alexandria via LeMat-Bulk
Functional: PBE-GGA
Structure: optimized geometry

Calculated values
Energy above the most stable polymorph in this dataset   6.335 kcal/mol of atoms
E_form (uncorrected)   0.605 eV/atom
Space-group type   P4/mmm (123)
Energy   -34.8 eV/cell
DOS(E_F)   5.4 states/eV per cell

a b c (Å): 4.918 4.918 4.659
angles (deg): 90.00 90.00 90.00
Positions (direct):
1 Hf 0.000 0.500 0.000
2 Hf 0.500 0.000 0.000
3 Ti 0.000 0.000 0.500
4 Si 0.500 0.500 0.000
5 As 0.500 0.500 0.500

No. 3
Compound: Ho3Si2Ru
Source: Alexandria via LeMat-Bulk
Functional: PBE-GGA
Structure: optimized geometry

Calculated values
E_form (uncorrected)   -0.697 eV/atom
Space-group type   Pnma (62)
Energy   -152.2 eV/cell
DOS(E_F)   16.5 states/eV per cell

a b c (Å): 11.484 4.142 11.168
angles (deg): 90.00 90.00 90.00
Positions (direct):
1 Ho 0.058 0.250 0.122
2 Ho 0.122 0.750 0.556
3 Ho 0.215 0.250 0.799
4 Ho 0.285 0.750 0.299
5 Ho 0.378 0.250 0.056
6 Ho 0.442 0.750 0.622
7 Ho 0.558 0.250 0.378
8 Ho 0.622 0.750 0.944
9 Ho 0.715 0.250 0.701
10 Ho 0.785 0.750 0.201
11 Ho 0.878 0.250 0.444
12 Ho 0.942 0.750 0.878
13 Si 0.019 0.750 0.313
14 Si 0.194 0.750 0.993
15 Si 0.306 0.250 0.493
16 Si 0.481 0.250 0.813
17 Si 0.519 0.750 0.187
18 Si 0.694 0.750 0.507
19 Si 0.806 0.250 0.007
20 Si 0.981 0.250 0.687
21 Ru 0.128 0.250 0.362
22 Ru 0.372 0.750 0.862
23 Ru 0.628 0.250 0.138
24 Ru 0.872 0.750 0.638

No. 4
Compound: Mn4CrIn
Source: Alexandria via LeMat-Bulk
Functional: PBE-GGA
Structure: optimized geometry

Calculated values
DFT formation energy   129 kJ/mol of formula units
Space-group type   F-43m (216)
Energy   -47.7 eV/cell
DOS(E_F)   9.2 states/eV per cell

a b c (Å): 4.809 4.809 4.809
angles (deg): 60.00 60.00 60.00
Positions (direct):
1 Mn 0.125 0.125 0.125
2 Mn 0.125 0.125 0.626
3 Mn 0.125 0.626 0.125
4 Mn 0.626 0.125 0.125
5 Cr 0.500 0.500 0.500
6 In 0.750 0.750 0.750

No. 5
Compound: BaLi2Pt
Source: Alexandria via LeMat-Bulk
Functional: PBE-GGA
Structure: optimized geometry

Calculated values
DFT formation energy   -111 kJ/mol of formula units
Energy above the most stable polymorph in this dataset   3.584 kcal/mol of atoms
Space-group type   P4mm (99)
Energy   -12.9 eV/cell
DOS(E_F)   2.1 states/eV per cell

a b c (Å): 3.698 3.698 7.433
angles (deg): 90.00 90.00 90.00
Positions (direct):
1 Ba 0.000 0.000 0.000
2 Li 0.000 0.000 0.592
3 Li 0.500 0.500 0.404
4 Pt 0.500 0.500 0.746

No. 6
Compound: As2SeCl
Source: Alexandria via LeMat-Bulk
Functional: PBE-GGA
Structure: optimized geometry

Calculated values
Energy above the most stable polymorph in this dataset   6.804 kcal/mol of atoms
E_form (uncorrected)   0.163 eV/atom
Space-group type   P4mm (99)
Energy   -14.0 eV/cell
DOS(E_F)   1.2 states/eV per cell

a b c (Å): 3.566 3.566 7.006
angles (deg): 90.00 90.00 90.00
Positions (direct):
1 As 0.000 0.000 0.000
2 As 0.500 0.500 0.201
3 Se 0.500 0.500 0.833
4 Cl 0.000 0.000 0.477

No. 7
Compound: SrCrIr
Source: Alexandria via LeMat-Bulk
Functional: PBE-GGA
Structure: optimized geometry

Calculated values
DFT formation energy   392 kJ/mol of formula units
Energy above the most stable polymorph in this dataset   27.594 kcal/mol of atoms
Space-group type   F-43m (216)
Energy   -64.4 eV/cell
DOS(E_F)   6.7 states/eV per cell

a b c (Å): 6.761 6.761 6.761
angles (deg): 90.00 90.00 90.00
Positions (direct):
1 Sr 0.000 0.000 0.000
2 Sr 0.000 0.500 0.500
3 Sr 0.500 0.000 0.500
4 Sr 0.500 0.500 0.000
5 Cr 0.250 0.250 0.250
6 Cr 0.250 0.750 0.750
7 Cr 0.750 0.250 0.750
8 Cr 0.750 0.750 0.250
9 Ir 0.250 0.250 0.750
10 Ir 0.250 0.750 0.250
11 Ir 0.750 0.250 0.250
12 Ir 0.750 0.750 0.750

No. 8
Compound: Ac3PmPd8
Source: Alexandria via LeMat-Bulk
Functional: PBE-GGA
Structure: optimized geometry

Calculated values
DFT formation energy   -879 kJ/mol of formula units
Space-group type   R3m (160)
Energy   -67.7 eV/cell
DOS(E_F)   2.8 states/eV per cell

a b c (Å): 9.786 9.786 9.786
angles (deg): 33.48 33.48 33.48
Positions (direct):
1 Ac 0.000 0.000 0.000
2 Ac 0.126 0.126 0.126
3 Ac 0.506 0.506 0.506
4 Pm 0.629 0.629 0.629
5 Pd 0.063 0.564 0.564
6 Pd 0.066 0.066 0.566
7 Pd 0.066 0.566 0.066
8 Pd 0.315 0.315 0.315
9 Pd 0.564 0.063 0.564
10 Pd 0.564 0.564 0.063
11 Pd 0.566 0.066 0.066
12 Pd 0.815 0.815 0.815

No. 9
Compound: ZnBiIr
Source: Alexandria via LeMat-Bulk
Functional: PBE-GGA
Structure: optimized geometry

Calculated values
DFT formation energy   15 kJ/mol of formula units
Energy above the most stable polymorph in this dataset   2.303 kcal/mol of atoms
Space-group type   Cmcm (63)
Energy   -55.4 eV/cell
DOS(E_F)   1.9 states/eV per cell

a b c (Å): 3.229 12.484 6.036
angles (deg): 90.00 90.00 90.00
Positions (direct):
1 Zn 0.000 0.112 0.250
2 Zn 0.000 0.888 0.750
3 Zn 0.500 0.388 0.750
4 Zn 0.500 0.612 0.250
5 Bi 0.000 0.155 0.750
6 Bi 0.000 0.845 0.250
7 Bi 0.500 0.345 0.250
8 Bi 0.500 0.655 0.750
9 Ir 0.000 0.500 0.000
10 Ir 0.000 0.500 0.500
11 Ir 0.500 0.000 0.000
12 Ir 0.500 0.000 0.500

No. 10
Compound: BaLi2CdCu
Source: Alexandria via LeMat-Bulk
Functional: PBE-GGA
Structure: optimized geometry

Calculated values
DFT formation energy   -6 kJ/mol of formula units
Space-group type   P4/mmm (123)
Energy   -10.8 eV/cell
DOS(E_F)   3.0 states/eV per cell

a b c (Å): 5.120 5.120 5.125
angles (deg): 90.00 90.00 90.00
Positions (direct):
1 Ba 0.000 0.000 0.000
2 Li 0.000 0.500 0.500
3 Li 0.500 0.000 0.500
4 Cd 0.500 0.500 0.000
5 Cu 0.500 0.500 0.500

No. 11
Compound: Ni7Ge4
Source: Alexandria via LeMat-Bulk
Functional: PBE-GGA
Structure: optimized geometry

Calculated values
DFT formation energy   -287 kJ/mol of formula units
Energy above the most stable polymorph in this dataset   0.367 kcal/mol of atoms
Space-group type   P-6m2 (187)
Energy   -61.9 eV/cell
DOS(E_F)   6.2 states/eV per cell

a b c (Å): 3.981 3.981 10.050
angles (deg): 90.00 90.00 120.00
Positions (direct):
1 Ni 0.000 0.000 0.000
2 Ni 0.333 0.667 0.127
3 Ni 0.333 0.667 0.379
4 Ni 0.333 0.667 0.621
5 Ni 0.333 0.667 0.873
6 Ni 0.667 0.333 0.255
7 Ni 0.667 0.333 0.745
8 Ge 0.000 0.000 0.256
9 Ge 0.000 0.000 0.744
10 Ge 0.667 0.333 0.000
11 Ge 0.667 0.333 0.500

No. 12
Compound: TlBi2Se4
Source: Alexandria via LeMat-Bulk
Functional: PBE-GGA
Structure: optimized geometry

Calculated values
Energy above the most stable polymorph in this dataset   0.000 kcal/mol of atoms
E_form (uncorrected)   -0.330 eV/atom
Space-group type   R-3m (166)
Energy   -26.4 eV/cell
DOS(E_F)   4.4 states/eV per cell

a b c (Å): 13.412 13.412 13.412
angles (deg): 18.18 18.18 18.18
Positions (direct):
1 Tl 0.000 0.000 0.000
2 Bi 0.428 0.428 0.428
3 Bi 0.572 0.572 0.572
4 Se 0.134 0.134 0.134
5 Se 0.286 0.286 0.286
6 Se 0.714 0.714 0.714
7 Se 0.866 0.866 0.866

No. 13
Compound: HPd3Pt
Source: Alexandria via LeMat-Bulk
Functional: PBE-GGA
Structure: optimized geometry

Calculated values
Energy above the most stable polymorph in this dataset   0.488 kcal/mol of atoms
Space-group type   Amm2 (38)
Energy   -50.1 eV/cell
DOS(E_F)   15.6 states/eV per cell

a b c (Å): 2.814 8.077 5.653
angles (deg): 90.00 90.00 90.00
Positions (direct):
1 H 0.000 0.000 0.000
2 H 0.000 0.500 0.500
3 Pd 0.000 0.247 0.499
4 Pd 0.000 0.253 0.999
5 Pd 0.000 0.747 0.999
6 Pd 0.000 0.753 0.499
7 Pd 0.500 0.000 0.251
8 Pd 0.500 0.500 0.751
9 Pt 0.500 0.000 0.744
10 Pt 0.500 0.500 0.244

No. 14
Compound: CrHg2P
Source: Alexandria via LeMat-Bulk
Functional: PBE-GGA
Structure: optimized geometry

Calculated values
DFT formation energy   224 kJ/mol of formula units
Space-group type   P4/mmm (123)
Energy   -13.3 eV/cell
DOS(E_F)   1.8 states/eV per cell

a b c (Å): 3.087 3.087 8.272
angles (deg): 90.00 90.00 90.00
Positions (direct):
1 Cr 0.000 0.000 0.000
2 Hg 0.500 0.500 0.237
3 Hg 0.500 0.500 0.763
4 P 0.000 0.000 0.500

No. 15
Compound: PmHo2Sc9
Source: Alexandria via LeMat-Bulk
Functional: PBE-GGA
Structure: optimized geometry

Calculated values
DFT formation energy   79 kJ/mol of formula units
Space-group type   P6/mmm (191)
Energy   -70.1 eV/cell
DOS(E_F)   19.6 states/eV per cell

a b c (Å): 10.509 10.509 3.307
angles (deg): 90.00 90.00 120.00
Positions (direct):
1 Pm 0.000 0.000 0.000
2 Ho 0.333 0.667 0.000
3 Ho 0.667 0.333 0.000
4 Sc 0.000 0.500 0.000
5 Sc 0.177 0.354 0.500
6 Sc 0.177 0.823 0.500
7 Sc 0.354 0.177 0.500
8 Sc 0.500 0.000 0.000
9 Sc 0.500 0.500 0.000
10 Sc 0.646 0.823 0.500
11 Sc 0.823 0.177 0.500
12 Sc 0.823 0.646 0.500

No. 16
Compound: Er2ScBiO6
Source: Alexandria via LeMat-Bulk
Functional: PBE-GGA
Structure: optimized geometry

Calculated values
E_form (uncorrected)   -2.658 eV/atom
Space-group type   P4mm (99)
Energy   -75.7 eV/cell

a b c (Å): 5.347 5.347 5.551
angles (deg): 90.00 90.00 90.00
Positions (direct):
1 Er 0.000 0.500 0.000
2 Er 0.500 0.000 0.000
3 Sc 0.000 0.000 0.616
4 Bi 0.500 0.500 0.579
5 O 0.000 0.000 0.259
6 O 0.242 0.242 0.787
7 O 0.242 0.758 0.787
8 O 0.500 0.500 0.171
9 O 0.758 0.242 0.787
10 O 0.758 0.758 0.787

No. 17
Compound: ScCd2Hg
Source: Alexandria via LeMat-Bulk
Functional: PBE-GGA
Structure: optimized geometry

Calculated values
DFT formation energy   -89 kJ/mol of formula units
Space-group type   Pmmm (47)
Energy   -9.4 eV/cell
DOS(E_F)   2.2 states/eV per cell

a b c (Å): 4.282 4.368 4.688
angles (deg): 90.00 90.00 90.00
Positions (direct):
1 Sc 0.000 0.000 0.000
2 Cd 0.000 0.500 0.500
3 Cd 0.500 0.000 0.500
4 Hg 0.500 0.500 0.000

No. 18
Compound: NbSiSe4
Source: Alexandria via LeMat-Bulk
Functional: PBE-GGA
Structure: optimized geometry

Calculated values
E_form (uncorrected)   -0.390 eV/atom
Space-group type   P-42c (112)
Energy   -63.5 eV/cell
DOS(E_F)   3.4 states/eV per cell

a b c (Å): 5.749 5.749 10.660
angles (deg): 90.00 90.00 90.00
Positions (direct):
1 Nb 0.000 0.000 0.000
2 Nb 0.000 0.000 0.500
3 Si 0.000 0.500 0.250
4 Si 0.500 0.000 0.750
5 Se 0.242 0.267 0.375
6 Se 0.242 0.733 0.125
7 Se 0.267 0.242 0.875
8 Se 0.267 0.758 0.625
9 Se 0.733 0.242 0.625
10 Se 0.733 0.758 0.875
11 Se 0.758 0.267 0.125
12 Se 0.758 0.733 0.375

No. 19
Compound: CdInPb2S5
Source: Alexandria via LeMat-Bulk
Functional: PBE-GGA
Structure: optimized geometry

Calculated values
E_form (uncorrected)   -0.403 eV/atom
Space-group type   Cmc2_1 (36)
Energy   -70.7 eV/cell
DOS(E_F)   8.5 states/eV per cell

a b c (Å): 9.530 9.530 12.269
angles (deg): 90.00 90.00 155.96
Positions (direct):
1 Cd 0.222 0.778 0.500
2 Cd 0.778 0.222 0.000
3 In 0.443 0.557 0.951
4 In 0.557 0.443 0.451
5 Pb 0.114 0.886 0.769
6 Pb 0.139 0.861 0.169
7 Pb 0.861 0.139 0.669
8 Pb 0.886 0.114 0.269
9 S 0.035 0.965 0.566
10 S 0.293 0.707 0.152
11 S 0.319 0.681 0.869
12 S 0.360 0.640 0.511
13 S 0.494 0.506 0.275
14 S 0.506 0.494 0.775
15 S 0.640 0.360 0.011
16 S 0.681 0.319 0.369
17 S 0.707 0.293 0.652
18 S 0.965 0.035 0.066

No. 20
Compound: CeGdPtAu
Source: Alexandria via LeMat-Bulk
Functional: PBE-GGA
Structure: optimized geometry

Calculated values
DFT formation energy   -339 kJ/mol of formula units
Space-group type   F-43m (216)
Energy   -131.4 eV/cell
DOS(E_F)   30.2 states/eV per cell

a b c (Å): 7.218 7.218 7.218
angles (deg): 90.00 90.00 90.00
Positions (direct):
1 Ce 0.000 0.000 0.000
2 Ce 0.000 0.500 0.500
3 Ce 0.500 0.000 0.500
4 Ce 0.500 0.500 0.000
5 Gd 0.000 0.000 0.500
6 Gd 0.000 0.500 0.000
7 Gd 0.500 0.000 0.000
8 Gd 0.500 0.500 0.500
9 Pt 0.250 0.250 0.750
10 Pt 0.250 0.750 0.250
11 Pt 0.750 0.250 0.250
12 Pt 0.750 0.750 0.750
13 Au 0.250 0.250 0.250
14 Au 0.250 0.750 0.750
15 Au 0.750 0.250 0.750
16 Au 0.750 0.750 0.250